## a
A geometry-optimized YSbI2F structure. Source: Alexandria, functional PBE.

abc: 5.7031 5.7031 4.3447
angles: 90.00 90.00 90.00
Last column: nearest neighbours and their distance in Å.
Space group P4/mmm (No. 123)
Symmetry-distinct sites (fractional):
Y (0.0000, 0.0000, 0.0000) (multiplicity 1)  8 I 3.58
Sb (0.5000, 0.5000, 0.0000) (multiplicity 1)  2 F 2.17
I (0.0000, 0.5000, 0.5000) (multiplicity 2)  2 F 2.85
F (0.5000, 0.5000, 0.5000) (multiplicity 1)  2 Sb 2.17



## b
A geometry-optimized YSbI2F structure. Source: Alexandria, functional PBE.

abc: 5.8584 5.8584 6.2521
angles: 90.00 90.00 90.00
Last column: nearest neighbours and their distance in Å.
Space group P4/mmm (No. 123)
Symmetry-distinct sites (fractional):
Y (0.0000, 0.0000, 0.0000) (multiplicity 1)  4 I 2.93, 2 Sb 3.13
Sb (0.0000, 0.0000, 0.5000) (multiplicity 1)  2 Y 3.13
I (0.0000, 0.5000, 0.0000) (multiplicity 2)  2 Y 2.93
F (0.5000, 0.5000, 0.5000) (multiplicity 1)  4 Sb 4.14, 8 I 4.28



Result of the stability comparison: b is the least stable of them.



## a
A geometry-optimized ScTeI2F structure. Source: Alexandria, functional PBE.

abc: 5.6081 5.6081 5.7079
angles: 90.00 90.00 90.00
Last column: nearest neighbours and their distance in Å.
Space group P4/mmm (No. 123)
Symmetry-distinct sites (fractional):
Sc (0.0000, 0.0000, 0.0000) (multiplicity 1)  4 I 2.80, 2 Te 2.85
Te (0.0000, 0.0000, 0.5000) (multiplicity 1)  2 Sc 2.85
I (0.0000, 0.5000, 0.0000) (multiplicity 2)  2 Sc 2.80
F (0.5000, 0.5000, 0.5000) (multiplicity 1)  4 Te 3.97, 8 I 4.00



## b
A geometry-optimized ScTeI2F structure. Source: Alexandria, functional PBE.

abc: 5.7760 5.7760 4.2970
angles: 90.00 90.00 90.00
Last column: nearest neighbours and their distance in Å.
Space group P4/mmm (No. 123)
Symmetry-distinct sites (fractional):
Sc (0.0000, 0.0000, 0.0000) (multiplicity 1)  8 I 3.60
Te (0.5000, 0.5000, 0.0000) (multiplicity 1)  2 F 2.15
I (0.0000, 0.5000, 0.5000) (multiplicity 2)  2 F 2.89
F (0.5000, 0.5000, 0.5000) (multiplicity 1)  2 Te 2.15



Result of the stability comparison: b is the least stable of them.



## a
A geometry-optimized SeI2F structure. Source: Alexandria, functional PBE.

abc: 5.5847 13.7327 9.7783
angles: 90.00 123.01 90.00
Last column: nearest neighbours and their distance in Å.
Space group P2_1/c (No. 14)
Symmetry-distinct sites (fractional):
Se (0.0201, 0.0909, 0.0009) (multiplicity 4)  1 Se 2.51, 2 I 2.59
I (0.0365, 0.1314, 0.2647) (multiplicity 4)  1 F 2.33, 1 Se 2.59
I (0.4801, 0.6326, 0.7520) (multiplicity 4)  1 F 2.33, 1 Se 2.59
F (0.0978, 0.1812, 0.5098) (multiplicity 4)  2 I 2.33



## b
A geometry-optimized SeI2F structure. Source: Alexandria, functional PBE.

abc: 7.2253 7.2253 7.2253
angles: 90.00 90.00 90.00
Last column: nearest neighbours and their distance in Å.
Space group Fm-3m (No. 225)
Symmetry-distinct sites (fractional):
Se (0.0000, 0.0000, 0.0000) (multiplicity 4)  8 I 3.13
I (0.2500, 0.2500, 0.2500) (multiplicity 8)  4 F 3.13, 4 Se 3.13
F (0.0000, 0.0000, 0.5000) (multiplicity 4)  8 I 3.13



## c
A geometry-optimized SeI2F structure. Source: Alexandria, functional PBE.

abc: 5.3907 5.3907 16.9405
angles: 90.00 90.00 90.00
Last column: nearest neighbours and their distance in Å.
Space group I-42d (No. 122)
Symmetry-distinct sites (fractional):
Se (0.0000, 0.0000, 0.0000) (multiplicity 4)  4 I 2.82
I (0.2374, 0.2500, 0.1250) (multiplicity 8)  2 Se 2.82, 2 F 2.88
F (0.0000, 0.0000, 0.5000) (multiplicity 4)  4 I 2.88



Result of the stability comparison: b is the least stable of them.



## a
A geometry-optimized SeI3F structure. Source: Alexandria, functional PBE.

abc: 5.3551 5.3551 5.3551
angles: 90.00 90.00 90.00
Last column: nearest neighbours and their distance in Å.
Space group Pm-3m (No. 221)
Symmetry-distinct sites (fractional):
Se (0.0000, 0.0000, 0.0000) (multiplicity 1)  12 I 3.79
I (0.0000, 0.5000, 0.5000) (multiplicity 3)  2 F 2.68
F (0.5000, 0.5000, 0.5000) (multiplicity 1)  6 I 2.68



## b
A geometry-optimized SeI3F structure. Source: Alexandria, functional PBE.

abc: 5.6546 5.6546 5.6546
angles: 90.00 90.00 90.00
Last column: nearest neighbours and their distance in Å.
Space group Pm-3m (No. 221)
Symmetry-distinct sites (fractional):
Se (0.0000, 0.0000, 0.0000) (multiplicity 1)  6 I 2.83
I (0.0000, 0.0000, 0.5000) (multiplicity 3)  2 Se 2.83
F (0.5000, 0.5000, 0.5000) (multiplicity 1)  12 I 4.00



Result of the stability comparison: a is the least stable of them.